(P)
# K3RbCu

A geometry-optimized K3RbCu structure (GGA-PBE, Alexandria via LeMat-Bulk).

abc: 6.7168 6.7168 6.7168
angles: 90.00 90.00 90.00
With the nearest neighbours (Å) after each atom.
Atoms (fractional coordinates):
K 0.0000 0.5000 0.0000  2 Cu 3.36
K 0.0000 0.0000 0.5000  2 Cu 3.36
K 0.5000 0.0000 0.0000  2 Cu 3.36
Cu 0.0000 0.0000 0.0000  6 K 3.36
Rb 0.5000 0.5000 0.5000  12 K 4.75

Results
- spin magnetization (Bohr magnetons per cell) = 0.00

---

(Q)
# K3RbCu

A geometry-optimized K3RbCu structure (GGA-PBE, Alexandria via LeMat-Bulk).

abc: 7.6351 7.6351 7.6351
angles: 90.00 90.00 90.00
With the nearest neighbours (Å) after each atom.
Atoms (fractional coordinates):
K 0.0000 0.5000 0.0000  2 Rb 3.82
K 0.0000 0.0000 0.5000  2 Rb 3.82
K 0.5000 0.0000 0.0000  2 Rb 3.82
Cu 0.5000 0.5000 0.5000  12 K 5.40
Rb 0.0000 0.0000 0.0000  6 K 3.82

Results
- spin magnetization (Bohr magnetons per cell) = 0.00

---

Each structure's energy above the most stable one, in kJ/mol of atoms: (P) 0.0; (Q) 52.2.

---

(P)
# KCuRe2

A geometry-optimized KCuRe2 structure (GGA-PBE, Alexandria via LeMat-Bulk).

abc: 2.7052 4.7586 5.4733
angles: 90.00 90.00 90.00
With the nearest neighbours (Å) after each atom.
Atoms (fractional coordinates):
Cu 0.5000 0.0000 0.5000  2 Cu 2.71, 4 K 2.74
K 0.0000 0.5000 0.5000  2 K 2.71, 4 Cu 2.74
Re 0.0000 0.0000 0.0000  6 Re 2.71-2.74
Re 0.5000 0.5000 0.0000  6 Re 2.71-2.74

Results
- spin magnetization (Bohr magnetons per cell) = 0.00

---

(Q)
# KCuRe2

A geometry-optimized KCuRe2 structure (GGA-PBE, Alexandria via LeMat-Bulk).

abc: 2.6439 2.6439 10.3104
angles: 90.00 90.00 108.82
With the nearest neighbours (Å) after each atom.
Atoms (fractional coordinates):
Cu 0.5000 0.5000 0.2500  4 Re 2.63, 4 Cu 2.64
K 0.5000 0.5000 0.7500  4 K 2.64
Re 0.0000 0.0000 0.0426  2 Cu 2.63, 4 Re 2.64
Re 0.0000 0.0000 0.4574  2 Cu 2.63, 4 Re 2.64

Results
- spin magnetization (Bohr magnetons per cell) = 0.00

---

Each structure's energy above the most stable one, in kJ/mol of atoms: (P) 29.9; (Q) 0.0.

---

(P)
# KCuRe2

A geometry-optimized KCuRe2 structure (GGA-PBE, Alexandria via LeMat-Bulk).

abc: 2.6136 2.6136 10.0497
angles: 90.00 90.00 90.00
With the nearest neighbours (Å) after each atom.
Atoms (fractional coordinates):
Cu 0.5000 0.5000 0.2500  4 Cu 2.61, 8 Re 2.74
K 0.5000 0.5000 0.7500  4 K 2.61
Re 0.0000 0.0000 0.0481  4 Re 2.61, 4 Cu 2.74
Re 0.0000 0.0000 0.4519  4 Re 2.61, 4 Cu 2.74

Results
- spin magnetization (Bohr magnetons per cell) = 0.00

---

(Q)
# KCuRe2

A geometry-optimized KCuRe2 structure (GGA-PBE, Alexandria via LeMat-Bulk).

abc: 2.7309 2.7309 10.1541
angles: 90.00 90.00 112.84
With the nearest neighbours (Å) after each atom.
Atoms (fractional coordinates):
Cu 0.0000 0.0000 0.4630  2 Re 2.63, 4 Cu 2.73
K 0.5000 0.5000 0.7463  6 K 2.73-3.02
Re 0.0000 0.0000 0.0395  6 Re 2.63-2.73
Re 0.5000 0.5000 0.2512  6 Re 2.63-2.73, 2 Cu 2.63

Results
- spin magnetization (Bohr magnetons per cell) = 0.00

---

(R)
# KCuRe2

A geometry-optimized KCuRe2 structure (GGA-PBE, Alexandria via LeMat-Bulk).

abc: 5.9027 5.9027 5.9027
angles: 143.35 143.35 52.79
With the nearest neighbours (Å) after each atom.
Atoms (fractional coordinates):
Cu 0.2500 0.7500 0.5000  4 K 2.62
K 0.7500 0.2500 0.5000  4 Cu 2.62
Re 0.0000 0.0000 0.0000  4 Re 2.62
Re 0.5000 0.5000 0.0000  4 Re 2.62

Results
- spin magnetization (Bohr magnetons per cell) = 0.00

---

(S)
# KCuRe2

A geometry-optimized KCuRe2 structure (GGA-PBE, Alexandria via LeMat-Bulk).

abc: 10.5115 10.5115 10.5115
angles: 15.07 15.07 15.07
With the nearest neighbours (Å) after each atom.
Atoms (fractional coordinates):
Cu 0.2500 0.2500 0.2500  6 Re 2.68, 6 Cu 2.76
K 0.7500 0.7500 0.7500  6 K 2.76
Re 0.9857 0.9857 0.9857  3 Cu 2.68, 6 Re 2.76
Re 0.5143 0.5143 0.5143  3 Cu 2.68, 6 Re 2.76

Results
- spin magnetization (Bohr magnetons per cell) = 0.00

---

Each structure's energy above the most stable one, in kJ/mol of atoms: (P) 18.4; (Q) 0.0; (R) 72.2; (S) 19.0.

---

(P)
# KCuRe2

A geometry-optimized KCuRe2 structure (GGA-PBE, Alexandria via LeMat-Bulk).

abc: 2.7627 3.7525 7.9300
angles: 90.00 90.00 90.00
With the nearest neighbours (Å) after each atom.
Atoms (fractional coordinates):
Cu 0.0000 0.0000 0.4239  5 Re 2.62-2.74, 2 Cu 2.76
K 0.5000 0.5000 0.7395  2 K 2.76
Re 0.0000 0.0000 0.0939  6 Re 2.61-2.76, 1 Cu 2.62
Re 0.5000 0.5000 0.2427  6 Re 2.61-2.76, 4 Cu 2.74

Results
- spin magnetization (Bohr magnetons per cell) = 0.00

---

(Q)
# KCuRe2

A geometry-optimized KCuRe2 structure (GGA-PBE, Alexandria via LeMat-Bulk).

abc: 6.2251 6.2251 4.7954
angles: 67.35 67.35 24.14
With the nearest neighbours (Å) after each atom.
Atoms (fractional coordinates):
Cu 0.2500 0.2500 0.2500  2 Cu 2.60, 4 Re 2.72, 4 K 2.73
K 0.7500 0.7500 0.7500  2 K 2.60, 4 Cu 2.73
Re 0.9635 0.9635 0.0365  6 Re 2.60-2.85, 2 Cu 2.72
Re 0.5365 0.5365 0.4635  6 Re 2.60-2.85, 2 Cu 2.72

Results
- spin magnetization (Bohr magnetons per cell) = 0.00

---

(R)
# KCuRe2

A geometry-optimized KCuRe2 structure (GGA-PBE, Alexandria via LeMat-Bulk).

abc: 5.8955 5.8955 2.5481
angles: 90.00 90.00 126.82
With the nearest neighbours (Å) after each atom.
Atoms (fractional coordinates):
Cu 0.5000 0.0000 0.5000  2 Cu 2.55, 2 K 2.64
K 0.0000 0.5000 0.5000  2 K 2.55, 2 Cu 2.64
Re 0.0000 0.0000 0.0000  4 Re 2.55-2.64
Re 0.5000 0.5000 0.0000  4 Re 2.55-2.64

Results
- spin magnetization (Bohr magnetons per cell) = 0.00

---

Each structure's energy above the most stable one, in kJ/mol of atoms: (P) 0.0; (Q) 12.0; (R) 59.0.

---

(P)
# KCuRe2

A geometry-optimized KCuRe2 structure (GGA-PBE, Alexandria via LeMat-Bulk).

abc: 5.3781 2.6390 4.9941
angles: 85.54 90.00 90.00
With the nearest neighbours (Å) after each atom.
Atoms (fractional coordinates):
Cu 0.5000 0.2500 0.2500  2 Cu 2.64, 4 K 2.73-2.91
K 0.5000 0.7500 0.7500  2 K 2.64, 4 Cu 2.73-2.91
Re 0.0000 0.0712 0.9977  4 Re 2.58-2.76
Re 0.0000 0.4288 0.5023  4 Re 2.58-2.76

Results
- spin magnetization (Bohr magnetons per cell) = 0.00

---

(Q)
# KCuRe2

A geometry-optimized KCuRe2 structure (GGA-PBE, Alexandria via LeMat-Bulk).

abc: 4.5022 4.5022 4.5022
angles: 60.00 60.00 60.00
With the nearest neighbours (Å) after each atom.
Atoms (fractional coordinates):
Re 0.2500 0.2500 0.2500  4 Cu 2.76, 4 K 2.76
Re 0.7500 0.7500 0.7500  4 Cu 2.76, 4 K 2.76
K 0.0000 0.0000 0.0000  8 Re 2.76
Cu 0.5000 0.5000 0.5000  8 Re 2.76

Results
- spin magnetization (Bohr magnetons per cell) = 0.00

---

Each structure's energy above the most stable one, in kJ/mol of atoms: (P) 0.0; (Q) 96.3.

---

(P)
# KCuRe2

A geometry-optimized KCuRe2 structure (GGA-PBE, Alexandria via LeMat-Bulk).

abc: 3.7143 3.7143 5.2226
angles: 90.00 90.00 90.00
With the nearest neighbours (Å) after each atom.
Atoms (fractional coordinates):
Cu 0.0000 0.5000 0.5000  4 K 2.63
K 0.5000 0.0000 0.5000  4 Cu 2.63
Re 0.0000 0.0000 0.0000  4 Re 2.63
Re 0.5000 0.5000 0.0000  4 Re 2.63

Results
- spin magnetization (Bohr magnetons per cell) = 0.00

---

(Q)
# KCuRe2

A geometry-optimized KCuRe2 structure (GGA-PBE, Alexandria via LeMat-Bulk).

abc: 3.0651 3.0651 8.5151
angles: 90.00 90.00 90.00
With the nearest neighbours (Å) after each atom.
Atoms (fractional coordinates):
Cu 0.0000 0.0000 0.4342  5 Re 2.70-2.97
K 0.5000 0.5000 0.7356  4 K 3.07, 4 Cu 3.36
Re 0.0000 0.0000 0.0859  4 Re 2.55
Re 0.5000 0.5000 0.2443  4 Re 2.55, 4 Cu 2.70

Results
- spin magnetization (Bohr magnetons per cell) = 0.00

---

Each structure's energy above the most stable one, in kJ/mol of atoms: (P) 79.7; (Q) 0.0.

---

(P)
# KCuRe2

A geometry-optimized KCuRe2 structure (GGA-PBE, Alexandria via LeMat-Bulk).

abc: 3.2558 3.2558 7.8957
angles: 90.00 90.00 90.00
With the nearest neighbours (Å) after each atom.
Atoms (fractional coordinates):
Cu 0.5000 0.5000 0.2500  8 Re 2.57
K 0.5000 0.5000 0.7500  4 K 3.26, 8 Re 3.63
Re 0.0000 0.0000 0.1061  1 Re 2.27
Re 0.0000 0.0000 0.3939  1 Re 2.27

Results
- spin magnetization (Bohr magnetons per cell) = 0.00

---

(Q)
# KCuRe2

A geometry-optimized KCuRe2 structure (GGA-PBE, Alexandria via LeMat-Bulk).

abc: 4.5457 4.5457 4.5457
angles: 120.01 120.01 89.97
With the nearest neighbours (Å) after each atom.
Atoms (fractional coordinates):
Cu 0.5000 0.5000 0.0000  4 K 2.78, 4 Re 2.78
K 0.7500 0.2500 0.5000  4 Re 2.78, 4 Cu 2.78
Re 0.0000 0.0000 0.0000  4 K 2.78, 4 Re 2.78
Re 0.2500 0.7500 0.5000  4 Cu 2.78, 4 Re 2.78

Results
- spin magnetization (Bohr magnetons per cell) = 0.00

---

Each structure's energy above the most stable one, in kJ/mol of atoms: (P) 0.0; (Q) 22.2.

---

(P)
# KCuRe2

A geometry-optimized KCuRe2 structure (GGA-PBE, Alexandria via LeMat-Bulk).

abc: 4.5613 4.5613 7.3076
angles: 87.61 87.61 33.29
With the nearest neighbours (Å) after each atom.
Atoms (fractional coordinates):
Cu 0.5126 0.5126 0.4144  2 Cu 2.61, 5 Re 2.64-2.74
K 0.7558 0.7558 0.7457  2 K 2.61
Re 0.9919 0.9919 0.0961  5 Re 2.46-2.74, 2 Cu 2.68
Re 0.2397 0.2397 0.2437  5 Re 2.46-2.74, 3 Cu 2.64-2.74

Results
- spin magnetization (Bohr magnetons per cell) = 0.00

---

(Q)
# KCuRe2

A geometry-optimized KCuRe2 structure (GGA-PBE, Alexandria via LeMat-Bulk).

abc: 3.8749 3.8749 10.8315
angles: 79.70 79.70 90.00
With the nearest neighbours (Å) after each atom.
Atoms (fractional coordinates):
Re 0.0581 0.1250 0.2500  2 Re 2.40
Re 0.6919 0.6250 0.2500  2 Re 2.40
Re 0.3750 0.9419 0.7500  2 Re 2.40
Re 0.8750 0.3081 0.7500  2 Re 2.40
K 0.5000 0.5000 0.0000  4 Cu 2.74, 4 Re 3.05
K 0.2500 0.7500 0.5000  4 Cu 2.74, 4 Re 3.05
Cu 0.0000 0.0000 0.0000  4 K 2.74, 4 Re 2.88
Cu 0.7500 0.2500 0.5000  4 K 2.74, 4 Re 2.88

Results
- spin magnetization (Bohr magnetons per cell) = 0.00

---

(R)
# KCuRe2

A geometry-optimized KCuRe2 structure (GGA-PBE, Alexandria via LeMat-Bulk).

abc: 2.5709 4.2966 7.6658
angles: 90.00 90.00 90.00
With the nearest neighbours (Å) after each atom.
Atoms (fractional coordinates):
Cu 0.5000 0.5000 0.2500  2 Cu 2.57, 8 Re 2.76
K 0.5000 0.5000 0.7500  2 K 2.57
Re 0.0000 0.0000 0.0979  3 Re 2.33-2.57
Re 0.0000 0.0000 0.4021  3 Re 2.33-2.57

Results
- spin magnetization (Bohr magnetons per cell) = 0.00

---

Each structure's energy above the most stable one, in kJ/mol of atoms: (P) 0.0; (Q) 63.6; (R) 23.8.